A plane-wave DFT calculation with PBE was carried out for a relaxed HgBi2O5 crystal.

Results
energy: -4.753 eV/atom
E_form (uncorrected): -0.6463 eV/atom
calculated volume: 164.20 Å³/cell
total magnetic moment: 0.00 μB per cell

Geometry as CIF:
```
data_HgBi2O5
_cell_length_a 5.344
_cell_length_b 5.447
_cell_length_c 6.320
_cell_angle_alpha 65.43
_cell_angle_beta 79.70
_cell_angle_gamma 89.33
_space_group_name_H-M_alt 'P 1'
_space_group_IT_number 1
loop_
_space_group_symop_operation_xyz
'x,y,z'
loop_
_atom_site_label
_atom_site_type_symbol
_atom_site_fract_x
_atom_site_fract_y
_atom_site_fract_z
Hg1 Hg 0.000 0.000 0.000
Bi1 Bi 0.274 0.767 0.530
Bi2 Bi 0.813 0.350 0.441
O1 O 0.057 0.099 0.330
O2 O 0.133 0.649 0.239
O3 O 0.501 0.070 0.593
O4 O 0.610 0.702 0.313
O5 O 0.921 0.362 0.742
```

A plane-wave DFT calculation with PBE was carried out for a relaxed HgBiO2 crystal.

Results
energy: -3.779 eV/atom
ΔE to the lowest computed polymorph: 500.8 meV/atom
E_form (uncorrected): -0.2547 eV/atom
calculated volume: 243.96 Å³/cell
total magnetic moment: 0.00 μB per cell

Geometry as CIF:
```
data_HgBiO2
_cell_length_a 6.248
_cell_length_b 6.248
_cell_length_c 6.248
_cell_angle_alpha 90.00
_cell_angle_beta 90.00
_cell_angle_gamma 90.00
_space_group_name_H-M_alt 'F m -3 m'
_space_group_IT_number 225
_space_group_name_Hall '-F 4 2 3'
loop_
_atom_site_label
_atom_site_type_symbol
_atom_site_fract_x
_atom_site_fract_y
_atom_site_fract_z
Hg1 Hg 0.000 0.000 0.000
Bi1 Bi 0.000 0.000 0.500
O1 O 0.250 0.250 0.250
```

A plane-wave DFT calculation with PBE was carried out for a relaxed HgBiO2 crystal.

Results
energy: -4.136 eV/atom
ΔE to the lowest computed polymorph: 144.0 meV/atom
E_form (uncorrected): -0.6114 eV/atom
calculated volume: 233.41 Å³/cell
total magnetic moment: 0.00 μB per cell

Geometry as CIF:
```
data_HgBiO2
_cell_length_a 3.5888
_cell_length_b 3.5888
_cell_length_c 20.9265
_cell_angle_alpha 90.00
_cell_angle_beta 90.00
_cell_angle_gamma 120.00
_space_group_name_H-M_alt 'R -3 m'
_space_group_IT_number 166
_space_group_name_Hall '-R 3 2"'
loop_
_atom_site_label
_atom_site_type_symbol
_atom_site_fract_x
_atom_site_fract_y
_atom_site_fract_z
Hg1 Hg 0.0000 0.0000 0.0000
Bi1 Bi 0.0000 0.0000 0.5000
O1 O 0.0000 0.0000 0.1084
```

A plane-wave DFT calculation with PBE was carried out for a relaxed Hg2BiO crystal.

Results
energy: -2.303 eV/atom
ΔE to the lowest computed polymorph: 0.0 meV/atom
E_form (uncorrected): 0.0580 eV/atom
calculated volume: 379.94 Å³/cell
total magnetic moment: 0.00 μB per cell

Geometry as CIF:
```
data_Hg2BiO
_cell_length_a 7.001
_cell_length_b 7.001
_cell_length_c 7.751
_cell_angle_alpha 90.00
_cell_angle_beta 90.00
_cell_angle_gamma 90.00
_space_group_name_H-M_alt 'I -4 2 d'
_space_group_IT_number 122
_space_group_name_Hall 'I -4 2bw'
loop_
_atom_site_label
_atom_site_type_symbol
_atom_site_fract_x
_atom_site_fract_y
_atom_site_fract_z
Hg1 Hg 0.171 0.250 0.125
Bi1 Bi 0.000 0.000 0.500
O1 O 0.000 0.000 0.000
```

A plane-wave DFT calculation with PBE was carried out for a relaxed HgBiO3 crystal.

Results
energy: -4.374 eV/atom
E_form (uncorrected): -0.5623 eV/atom
calculated volume: 184.39 Å³/cell
total magnetic moment: 0.00 μB per cell

Geometry as CIF:
```
data_HgBiO3
_cell_length_a 3.602
_cell_length_b 6.850
_cell_length_c 7.684
_cell_angle_alpha 90.00
_cell_angle_beta 103.47
_cell_angle_gamma 90.00
_space_group_name_H-M_alt 'P 1 21/m 1'
_space_group_IT_number 11
loop_
_space_group_symop_operation_xyz
'x,y,z'
'-x,-y,-z'
'-x,y+1/2,-z'
'x,-y+1/2,z'
loop_
_atom_site_label
_atom_site_type_symbol
_atom_site_fract_x
_atom_site_fract_y
_atom_site_fract_z
Hg1 Hg 0.122 0.250 0.246
Bi1 Bi 0.384 0.250 0.766
O1 O 0.146 0.557 0.293
O2 O 0.481 0.750 0.962
```

A plane-wave DFT calculation with PBE was carried out for a relaxed Hg2Bi2O crystal.

Results
energy: -2.835 eV/atom
E_form (uncorrected): -0.1700 eV/atom
calculated volume: 255.93 Å³/cell
total magnetic moment: 0.00 μB per cell

Geometry as CIF:
```
data_Hg2Bi2O
_cell_length_a 6.728
_cell_length_b 6.728
_cell_length_c 5.654
_cell_angle_alpha 90.00
_cell_angle_beta 90.00
_cell_angle_gamma 90.00
_space_group_name_H-M_alt 'P 4/m b m'
_space_group_IT_number 127
_space_group_name_Hall '-P 4 2ab'
loop_
_atom_site_label
_atom_site_type_symbol
_atom_site_fract_x
_atom_site_fract_y
_atom_site_fract_z
Hg1 Hg 0.166 0.334 0.000
Bi1 Bi 0.199 0.699 0.500
O1 O 0.000 0.000 0.500
```

A plane-wave DFT calculation with PBE was carried out for a relaxed Hg2Bi2O5 crystal.

Results
energy: -4.414 eV/atom
E_form (uncorrected): -0.7301 eV/atom
calculated volume: 324.73 Å³/cell
total magnetic moment: 0.00 μB per cell

Geometry as CIF:
```
data_Hg2Bi2O5
_cell_length_a 15.817
_cell_length_b 3.539
_cell_length_c 5.818
_cell_angle_alpha 90.00
_cell_angle_beta 94.25
_cell_angle_gamma 90.00
_space_group_name_H-M_alt 'C 1 2/m 1'
_space_group_IT_number 12
loop_
_space_group_symop_operation_xyz
'x,y,z'
'-x,-y,-z'
'-x,y,-z'
'x,-y,z'
'x+1/2,y+1/2,z'
'-x+1/2,-y+1/2,-z'
'-x+1/2,y+1/2,-z'
'x+1/2,-y+1/2,z'
loop_
_atom_site_label
_atom_site_type_symbol
_atom_site_fract_x
_atom_site_fract_y
_atom_site_fract_z
Hg1 Hg 0.210 0.000 0.242
Bi1 Bi 0.065 0.500 0.748
O1 O 0.000 0.000 0.500
O2 O 0.114 0.000 0.980
O3 O 0.175 0.500 0.553
```

A plane-wave DFT calculation with PBE was carried out for a relaxed HgBiO crystal.

Results
energy: -3.413 eV/atom
E_form (uncorrected): -0.3656 eV/atom
calculated volume: 74.58 Å³/cell
total magnetic moment: 0.00 μB per cell

Geometry as CIF:
```
data_HgBiO
_cell_length_a 3.9876
_cell_length_b 3.9876
_cell_length_c 5.4155
_cell_angle_alpha 90.00
_cell_angle_beta 90.00
_cell_angle_gamma 120.00
_space_group_name_H-M_alt 'P -6 m 2'
_space_group_IT_number 187
_space_group_name_Hall 'P -6 2'
loop_
_atom_site_label
_atom_site_type_symbol
_atom_site_fract_x
_atom_site_fract_y
_atom_site_fract_z
Hg1 Hg 0.0000 0.0000 0.0000
Bi1 Bi 0.6667 0.3333 0.5000
O1 O 0.3333 0.6667 0.5000
```